The following is a DFT calculation (PBEsol) of K2MnAlSe after structural relaxation.

Its uncorrected formation energy is 0.4818 eV/atom. The magnetization is 0.860 μB/atom. The crystal system is tetragonal.

It has space group P4/mmm (No. 123), with a = 6.0723 Å, b = 6.0723 Å, c = 5.0364 Å, α = 90.00°, β = 90.00° and γ = 90.00°. The inequivalent atoms are K at (0.0000, 0.5000, 0.0000), Mn at (0.0000, 0.0000, 0.5000), Al at (0.5000, 0.5000, 0.5000) and Se at (0.5000, 0.5000, 0.0000).